# Tb2Tc3W

An optimized crystal structure of Tb2Tc3W (GGA-PBE, Alexandria).

abc: 9.2561 5.5189 5.3953
angles: 90.00 123.79 90.00
Space group C2/m (No. 12)
Asymmetric unit:
1 Tb 0.1246 0.0000 0.3747 [4 per cell]
2 Tc 0.0000 0.5000 0.5000 [2 per cell]
3 Tc 0.2500 0.2500 0.0000 [4 per cell]
4 W 0.0000 0.5000 0.0000 [2 per cell]

Results
For the energy of formation, the calculation gives -86 meV per atom. The value obtained for the total magnetic moment is 0.00 μB per cell.

***

# Ni3Sb

An optimized crystal structure of Ni3Sb (GGA-PBE, Alexandria).

abc: 4.2743 5.3351 4.5389
angles: 90.00 90.00 90.00
Space group Pmmn (No. 59, origin choice 2)
Asymmetric unit:
1 Ni 0.2500 0.0003 0.1716 [4 per cell]
2 Ni 0.2500 0.2500 0.6839 [2 per cell]
3 Sb 0.2500 0.7500 0.6780 [2 per cell]

Results
The uncorrected formation energy comes out at -59 kJ/mol of formula units. For the energy relative to the lowest polymorph listed for this composition, the calculation gives 0.0000 eV per atom. The value obtained for the total magnetic moment is 0.00 μB per cell.

***

# RbPPtO2

An optimized crystal structure of RbPPtO2 (GGA-PBE, Alexandria).

abc: 4.0383 4.0383 6.9485
angles: 90.00 90.00 90.00
Space group P4/mmm (No. 123)
Asymmetric unit:
1 Rb 0.0000 0.0000 0.0000 [1 per cell]
2 P 0.5000 0.5000 0.0000 [1 per cell]
3 Pt 0.0000 0.0000 0.5000 [1 per cell]
4 O 0.0000 0.5000 0.5000 [2 per cell]

Results
The uncorrected formation energy comes out at 271 kJ/mol of formula units. For the energy relative to the lowest polymorph listed for this composition, the calculation gives 0.5025 eV per atom. The value obtained for the total magnetic moment is 2.50 μB per cell.